Entry 1:
DFT (GGA-PBE) results for a relaxed CuAs2Pd crystal.

* space group: Fm-3m
* relative energy among the computed polymorphs: 0 meV per atom

Unit cell a=4.501 b=4.501 c=4.501 alpha=60.00 beta=60.00 gamma=60.00
Element x y z (fractional)
Cu 0.000 0.000 0.000
Pd 0.500 0.500 0.500
As 0.750 0.750 0.750
As 0.250 0.250 0.250

=====

Entry 2:
DFT (GGA-PBE) results for a relaxed CuAsPd4 crystal.

* space group: P2_1/c
* relative energy among the computed polymorphs: 28 meV per atom

Unit cell a=4.935 b=7.718 c=5.154 alpha=90.00 beta=112.25 gamma=90.00
Element x y z (fractional)
Pd 0.420 0.161 0.884
Cu 0.000 0.000 0.000
Pd 0.889 0.166 0.395
Pd 0.580 0.839 0.116
Pd 0.111 0.834 0.605
Pd 0.920 0.339 0.884
As 0.500 0.000 0.500
As 0.000 0.500 0.500
Pd 0.611 0.666 0.605
Cu 0.500 0.500 0.000
Pd 0.080 0.661 0.116
Pd 0.389 0.334 0.395

=====

Entry 3:
DFT (GGA-PBE) results for a relaxed CuAs6Pd crystal.

* space group: C2/m

Unit cell a=7.561 b=7.561 c=7.538 alpha=109.59 beta=109.39 gamma=109.56
Element x y z (fractional)
As 0.211 0.854 0.354
As 0.853 0.354 0.207
As 0.500 0.857 0.646
As 0.358 0.212 0.858
As 0.353 0.500 0.142
Pd 0.500 0.500 0.500
As 0.858 0.643 0.501
As 0.147 0.646 0.793
As 0.642 0.788 0.142
Cu 0.500 0.000 0.000
Pd 0.000 0.000 0.500
Cu 0.000 0.500 0.000
As 0.500 0.143 0.354
As 0.647 0.500 0.858
As 0.789 0.146 0.646
As 0.142 0.357 0.499

=====

Entry 4:
DFT (GGA-PBE) results for a relaxed Cu2AsPd crystal.

* space group: I-42d

Unit cell a=6.960 b=6.960 c=5.526 alpha=50.97 beta=50.97 gamma=90.00
Element x y z (fractional)
Cu 0.875 0.854 0.750
Cu 0.146 0.625 0.250
Pd 0.000 0.000 0.000
Pd 0.750 0.250 0.500
Cu 0.375 0.396 0.750
As 0.500 0.500 0.000
Cu 0.604 0.125 0.250
As 0.250 0.750 0.500

=====

Entry 5:
DFT (GGA-PBE) results for a relaxed Cu5As2Pd12 crystal.

* space group: C2/m

Unit cell a=8.388 b=7.399 c=5.621 alpha=92.88 beta=90.00 gamma=124.53
Element x y z (fractional)
Pd 0.545 0.090 0.258
As 0.754 0.000 0.000
Pd 0.632 0.797 0.378
Pd 0.559 0.621 0.801
Cu 0.317 0.635 0.105
Cu 0.235 0.470 0.516
Pd 0.368 0.203 0.622
Pd 0.115 0.230 0.912
Cu 0.765 0.530 0.484
Pd 0.885 0.770 0.088
Pd 0.455 0.910 0.742
Pd 0.062 0.621 0.801
As 0.246 0.000 0.000
Pd 0.166 0.797 0.378
Cu 0.683 0.365 0.895
Cu 0.000 0.000 0.500
Pd 0.834 0.203 0.622
Pd 0.441 0.379 0.199
Pd 0.938 0.379 0.199

=====

Entry 6:
DFT (GGA-PBE) results for a relaxed Cu8AsPd6 crystal.

* space group: R-3

Unit cell a=6.918 b=6.918 c=6.672 alpha=58.77 beta=58.77 gamma=60.00
Element x y z (fractional)
Pd 0.645 0.883 0.128
As 0.000 0.000 0.000
Pd 0.344 0.645 0.128
Cu 0.461 0.813 0.598
Cu 0.751 0.751 0.748
Cu 0.187 0.873 0.402
Cu 0.539 0.187 0.402
Cu 0.813 0.127 0.598
Pd 0.656 0.355 0.872
Pd 0.355 0.117 0.872
Cu 0.873 0.539 0.402
Cu 0.249 0.249 0.252
Cu 0.127 0.461 0.598
Pd 0.883 0.344 0.128
Pd 0.117 0.656 0.872

=====

Entry 7:
DFT (GGA-PBE) results for a relaxed Cu2AsPd4 crystal.

* space group: P1
* relative energy among the computed polymorphs: 0 meV per atom

Unit cell a=6.910 b=5.475 c=7.770 alpha=117.76 beta=120.26 gamma=93.48
Element x y z (fractional)
Pd 0.495 0.796 0.893
As 0.907 0.998 0.004
Cu 0.694 0.306 0.304
Pd 0.316 0.895 0.169
As 0.192 0.780 0.499
Cu 0.601 0.446 0.599
Pd 0.877 0.585 0.060
Pd 0.015 0.818 0.714
Pd 0.281 0.419 0.202
Pd 0.125 0.235 0.447
Cu 0.995 0.350 0.741
Pd 0.415 0.300 0.900
Pd 0.611 0.992 0.639
Cu 0.725 0.830 0.329

=====

Entry 8:
DFT (GGA-PBE) results for a relaxed Cu3AsPd4 crystal.

* space group: C2/m

Unit cell a=4.439 b=4.439 c=6.554 alpha=109.85 beta=109.79 gamma=90.00
Element x y z (fractional)
Cu 0.246 0.747 0.491
As 0.500 0.000 0.000
Pd 0.876 0.876 0.752
Cu 0.000 0.500 0.000
Pd 0.124 0.124 0.248
Cu 0.754 0.253 0.509
Pd 0.624 0.623 0.248
Pd 0.376 0.377 0.752

=====

Entry 9:
DFT (GGA-PBE) results for a relaxed PmCuAsPd crystal.

* space group: F-43m

Unit cell a=4.735 b=4.735 c=4.735 alpha=60.00 beta=60.00 gamma=60.00
Element x y z (fractional)
Pm 0.000 0.000 0.000
As 0.250 0.250 0.250
Pd 0.500 0.500 0.500
Cu 0.750 0.750 0.750

=====

Entry 10:
DFT (GGA-PBE) results for a relaxed Pm2CuAs4Pd3 crystal.

* space group: P-4m2

Unit cell a=4.193 b=4.193 c=10.916 alpha=90.00 beta=90.00 gamma=90.00
Element x y z (fractional)
Cu 0.500 0.500 0.500
Pm 0.500 0.000 0.266
Pd 0.000 0.000 0.500
As 0.500 0.500 0.000
As 0.000 0.500 0.367
Pd 0.000 0.500 0.141
Pm 0.000 0.500 0.734
Pd 0.500 0.000 0.859
As 0.500 0.000 0.633
As 0.000 0.000 0.000

=====

no.,DFT formation energy (eV per atom)
1,-0.01
2,-0.19
3,-0.09
4,0.05
5,-0.13
6,0.04
7,-0.19
8,-0.19
9,-0.52
10,-0.79